K2AgSe | PBE | relaxed

Cell and atoms, written as CIF:
```
data_K2AgSe
_chemical_formula_sum 'K6 Ag3 Se3'
_space_group_name_H-M_alt 'R -3 m'
_space_group_IT_number 166
_space_group_name_Hall '-R 3 2"'
_cell_length_a 4.5148
_cell_length_b 4.5148
_cell_length_c 27.3517
_cell_angle_alpha 90.00
_cell_angle_beta 90.00
_cell_angle_gamma 120.00
loop_
_atom_site_label
_atom_site_fract_x
_atom_site_fract_y
_atom_site_fract_z
K1 0.0000 0.0000 0.2357
Ag1 0.0000 0.0000 0.0000
Se1 0.0000 0.0000 0.5000
```

Properties
The value obtained for the density of states at the Fermi level is 13.3 states/eV per cell. For the polymorph energy (0 for the lowest one), the calculation gives 1.05 eV per formula unit.



KAgSe2 | PBE | relaxed

Cell and atoms, written as CIF:
```
data_KAgSe2
_chemical_formula_sum 'K1 Ag1 Se2'
_space_group_name_H-M_alt 'P m m m'
_space_group_IT_number 47
_space_group_name_Hall '-P 2 2'
_cell_length_a 2.983
_cell_length_b 3.935
_cell_length_c 8.138
_cell_angle_alpha 90.00
_cell_angle_beta 90.00
_cell_angle_gamma 90.00
loop_
_atom_site_label
_atom_site_fract_x
_atom_site_fract_y
_atom_site_fract_z
K1 0.000 0.000 0.000
Ag1 0.000 0.000 0.500
Se1 0.500 0.500 0.283
```

Properties
The value obtained for the density of states at the Fermi level is 3.0 states/eV per cell.



K2Ag5Se4 | PBE | relaxed

Cell and atoms, written as CIF:
```
data_K2Ag5Se4
_chemical_formula_sum 'K8 Ag20 Se16'
_space_group_name_H-M_alt 'F m m m'
_space_group_IT_number 69
_space_group_name_Hall '-F 2 2'
_cell_length_a 5.872
_cell_length_b 13.477
_cell_length_c 14.785
_cell_angle_alpha 90.00
_cell_angle_beta 90.00
_cell_angle_gamma 90.00
loop_
_atom_site_label
_atom_site_fract_x
_atom_site_fract_y
_atom_site_fract_z
K1 0.000 0.000 0.162
Ag1 0.000 0.000 0.500
Ag2 0.250 0.250 0.000
Ag3 0.250 0.250 0.250
Se1 0.000 0.143 0.373
```

Properties
The value obtained for the density of states at the Fermi level is 20.0 states/eV per cell.



K2AgSe | PBE | relaxed

Cell and atoms, written as CIF:
```
data_K2AgSe
_chemical_formula_sum 'K2 Ag1 Se1'
_space_group_name_H-M_alt 'P 4/m m m'
_space_group_IT_number 123
_space_group_name_Hall '-P 4 2'
_cell_length_a 6.028
_cell_length_b 6.028
_cell_length_c 3.296
_cell_angle_alpha 90.00
_cell_angle_beta 90.00
_cell_angle_gamma 90.00
loop_
_atom_site_label
_atom_site_fract_x
_atom_site_fract_y
_atom_site_fract_z
K1 0.000 0.500 0.000
Ag1 0.000 0.000 0.500
Se1 0.500 0.500 0.500
```

Properties
The value obtained for the density of states at the Fermi level is 1.0 states/eV per cell. For the polymorph energy (0 for the lowest one), the calculation gives 0.45 eV per formula unit.



M_tot values, unit μB/cell, following the record order: 2.3, 0.0, 0.0, 0.0.
Energy relative to the elements, uncorrected values, unit meV/atom, following the record order: -247.1, -255.8, -343.1, -398.6.
Volume values, unit Å³/f.u., following the record order: 160.9, 95.5, 292.5, 119.8.